Record 1
# BiPd3Pb3 | Alexandria via LeMat-Bulk | GGA-PBE | optimized geometry
# magnetization: 0.00 μB/cell
# energy of formation: -4.01 kcal/mol of atoms
# total energy: -127.2 eV/cell
# crystal system: monoclinic
data_BiPd3Pb3
_cell_length_a 9.202
_cell_length_b 10.339
_cell_length_c 7.176
_cell_angle_alpha 90.00
_cell_angle_beta 98.36
_cell_angle_gamma 90.00
_symmetry_space_group_name_H-M 'C 1 2/m 1'
_symmetry_Int_Tables_number 12
loop_
_symmetry_equiv_pos_as_xyz
'x,y,z'
'-x,-y,-z'
'-x,y,-z'
'x,-y,z'
'x+1/2,y+1/2,z'
'-x+1/2,-y+1/2,-z'
'-x+1/2,y+1/2,-z'
'x+1/2,-y+1/2,z'
loop_
_atom_site_label
_atom_site_type_symbol
_atom_site_fract_x
_atom_site_fract_y
_atom_site_fract_z
Bi1 Bi 0.229 0.000 0.450
Pd1 Pd 0.003 0.500 0.707
Pd2 Pd 0.248 0.299 0.805
Pb1 Pb 0.000 0.248 0.500
Pb2 Pb 0.000 0.315 0.000
Pb3 Pb 0.179 0.000 0.907

=====

Record 2
# Bi2PdPb8 | Alexandria via LeMat-Bulk | GGA-PBE | optimized geometry
# magnetization: 0.00 μB/cell
# energy of formation: -0.05 kcal/mol of atoms
# total energy: -85.3 eV/cell
# offset from the most stable computed form: 0.003 eV/atom
# crystal system: monoclinic
data_Bi2PdPb8
_cell_length_a 21.342
_cell_length_b 4.326
_cell_length_c 7.527
_cell_angle_alpha 90.00
_cell_angle_beta 99.15
_cell_angle_gamma 90.00
_symmetry_space_group_name_H-M 'C 1 2/m 1'
_symmetry_Int_Tables_number 12
loop_
_symmetry_equiv_pos_as_xyz
'x,y,z'
'-x,-y,-z'
'-x,y,-z'
'x,-y,z'
'x+1/2,y+1/2,z'
'-x+1/2,-y+1/2,-z'
'-x+1/2,y+1/2,-z'
'x+1/2,-y+1/2,z'
loop_
_atom_site_label
_atom_site_type_symbol
_atom_site_fract_x
_atom_site_fract_y
_atom_site_fract_z
Bi1 Bi 0.179 0.000 0.264
Pd1 Pd 0.000 0.500 0.500
Pb1 Pb 0.018 0.000 0.264
Pb2 Pb 0.093 0.500 0.977
Pb3 Pb 0.132 0.500 0.544
Pb4 Pb 0.209 0.000 0.839

=====

Record 3
# Bi3Pd2Pb2 | Alexandria via LeMat-Bulk | GGA-PBE | optimized geometry
# magnetization: 0.00 μB/cell
# energy of formation: -3.79 kcal/mol of atoms
# total energy: -61.2 eV/cell
# crystal system: monoclinic
data_Bi3Pd2Pb2
_cell_length_a 11.548
_cell_length_b 4.264
_cell_length_c 8.069
_cell_angle_alpha 90.00
_cell_angle_beta 110.31
_cell_angle_gamma 90.00
_symmetry_space_group_name_H-M 'C 1 2/m 1'
_symmetry_Int_Tables_number 12
loop_
_symmetry_equiv_pos_as_xyz
'x,y,z'
'-x,-y,-z'
'-x,y,-z'
'x,-y,z'
'x+1/2,y+1/2,z'
'-x+1/2,-y+1/2,-z'
'-x+1/2,y+1/2,-z'
'x+1/2,-y+1/2,z'
loop_
_atom_site_label
_atom_site_type_symbol
_atom_site_fract_x
_atom_site_fract_y
_atom_site_fract_z
Bi1 Bi 0.000 0.000 0.000
Bi2 Bi 0.127 0.000 0.446
Pd1 Pd 0.165 0.500 0.224
Pb1 Pb 0.165 0.500 0.830

=====

Record 4
# BiPd6Pb3 | Alexandria via LeMat-Bulk | GGA-PBE | optimized geometry
# magnetization: 0.00 μB/cell
# energy of formation: -4.08 kcal/mol of atoms
# total energy: -191.7 eV/cell
# offset from the most stable computed form: 0.053 eV/atom
# crystal system: orthorhombic
data_BiPd6Pb3
_cell_length_a 10.965
_cell_length_b 10.164
_cell_length_c 7.574
_cell_angle_alpha 90.00
_cell_angle_beta 90.00
_cell_angle_gamma 90.00
_symmetry_space_group_name_H-M 'C m c 21'
_symmetry_Int_Tables_number 36
loop_
_symmetry_equiv_pos_as_xyz
'x,y,z'
'-x,-y,z+1/2'
'-x,y,z'
'x,-y,z+1/2'
'x+1/2,y+1/2,z'
'-x+1/2,-y+1/2,z+1/2'
'-x+1/2,y+1/2,z'
'x+1/2,-y+1/2,z+1/2'
loop_
_atom_site_label
_atom_site_type_symbol
_atom_site_fract_x
_atom_site_fract_y
_atom_site_fract_z
Bi1 Bi 0.000 0.205 0.000
Pd1 Pd 0.000 0.038 0.304
Pd2 Pd 0.000 0.203 0.629
Pd3 Pd 0.155 0.417 0.677
Pd4 Pd 0.227 0.146 0.846
Pb1 Pb 0.000 0.410 0.366
Pb2 Pb 0.213 0.111 0.487

=====

Record 5
# BiPd9Pb2 | Alexandria via LeMat-Bulk | GGA-PBE | optimized geometry
# magnetization: 0.00 μB/cell
# energy of formation: -6.35 kcal/mol of atoms
# total energy: -61.3 eV/cell
# crystal system: tetragonal
data_BiPd9Pb2
_cell_length_a 4.122
_cell_length_b 4.122
_cell_length_c 12.315
_cell_angle_alpha 90.00
_cell_angle_beta 90.00
_cell_angle_gamma 90.00
_symmetry_space_group_name_H-M 'P 4/m m m'
_symmetry_Int_Tables_number 123
_symmetry_space_group_name_Hall '-P 4 2'
loop_
_atom_site_label
_atom_site_type_symbol
_atom_site_fract_x
_atom_site_fract_y
_atom_site_fract_z
Bi1 Bi 0.000 0.000 0.000
Pd1 Pd 0.000 0.500 0.168
Pd2 Pd 0.000 0.500 0.500
Pd3 Pd 0.500 0.500 0.000
Pd4 Pd 0.500 0.500 0.333
Pb1 Pb 0.000 0.000 0.335

=====

Record 6
# Bi3PdPb6 | Alexandria via LeMat-Bulk | GGA-PBE | optimized geometry
# magnetization: 0.00 μB/cell
# energy of formation: -0.57 kcal/mol of atoms
# total energy: -78.7 eV/cell
# crystal system: monoclinic
data_Bi3PdPb6
_cell_length_a 11.161
_cell_length_b 4.492
_cell_length_c 12.122
_cell_angle_alpha 90.00
_cell_angle_beta 93.55
_cell_angle_gamma 90.00
_symmetry_space_group_name_H-M 'P 1 21/m 1'
_symmetry_Int_Tables_number 11
loop_
_symmetry_equiv_pos_as_xyz
'x,y,z'
'-x,-y,-z'
'-x,y+1/2,-z'
'x,-y+1/2,z'
loop_
_atom_site_label
_atom_site_type_symbol
_atom_site_fract_x
_atom_site_fract_y
_atom_site_fract_z
Bi1 Bi 0.062 0.250 0.096
Bi2 Bi 0.143 0.750 0.283
Bi3 Bi 0.235 0.250 0.490
Pd1 Pd 0.454 0.250 0.831
Pb1 Pb 0.052 0.750 0.618
Pb2 Pb 0.173 0.250 0.842
Pb3 Pb 0.348 0.750 0.692
Pb4 Pb 0.367 0.250 0.186
Pb5 Pb 0.376 0.750 0.974
Pb6 Pb 0.441 0.750 0.396

=====

Record 7
# Bi3Pd2Pb | Alexandria via LeMat-Bulk | GGA-PBE | optimized geometry
# magnetization: 0.00 μB/cell
# energy of formation: -2.93 kcal/mol of atoms
# total energy: -159.0 eV/cell
# offset from the most stable computed form: 0.074 eV/atom
# crystal system: trigonal
data_Bi3Pd2Pb
_cell_length_a 7.1478
_cell_length_b 7.1478
_cell_length_c 21.3824
_cell_angle_alpha 90.00
_cell_angle_beta 90.00
_cell_angle_gamma 120.00
_symmetry_space_group_name_H-M 'R -3 m'
_symmetry_Int_Tables_number 166
_symmetry_space_group_name_Hall '-R 3 2"'
loop_
_atom_site_label
_atom_site_type_symbol
_atom_site_fract_x
_atom_site_fract_y
_atom_site_fract_z
Bi1 Bi 0.0003 0.5002 0.2419
Pd1 Pd 0.0000 0.0000 0.0000
Pd2 Pd 0.0000 0.5000 0.0000
Pb1 Pb 0.0000 0.0000 0.2362

=====

Record 8
# Bi5Pd2Pb4 | Alexandria via LeMat-Bulk | GGA-PBE | optimized geometry
# magnetization: 0.00 μB/cell
# energy of formation: -1.52 kcal/mol of atoms
# total energy: -45.3 eV/cell
# crystal system: monoclinic
data_Bi5Pd2Pb4
_cell_length_a 8.110
_cell_length_b 3.957
_cell_length_c 9.943
_cell_angle_alpha 90.00
_cell_angle_beta 94.93
_cell_angle_gamma 90.00
_symmetry_space_group_name_H-M 'P 1 2/m 1'
_symmetry_Int_Tables_number 10
loop_
_symmetry_equiv_pos_as_xyz
'x,y,z'
'-x,-y,-z'
'-x,y,-z'
'x,-y,z'
loop_
_atom_site_label
_atom_site_type_symbol
_atom_site_fract_x
_atom_site_fract_y
_atom_site_fract_z
Bi1 Bi 0.000 0.000 0.000
Bi2 Bi 0.047 0.000 0.343
Bi3 Bi 0.369 0.000 0.865
Pd1 Pd 0.415 0.000 0.366
Pb1 Pb 0.295 0.500 0.164
Pb2 Pb 0.306 0.500 0.569

=====

Record 9
# Bi2Pd4Pb3 | Alexandria via LeMat-Bulk | GGA-PBE | optimized geometry
# magnetization: 0.00 μB/cell
# energy of formation: -4.01 kcal/mol of atoms
# total energy: -164.9 eV/cell
# crystal system: monoclinic
data_Bi2Pd4Pb3
_cell_length_a 12.085
_cell_length_b 13.029
_cell_length_c 5.886
_cell_angle_alpha 90.00
_cell_angle_beta 109.33
_cell_angle_gamma 90.00
_symmetry_space_group_name_H-M 'C 1 2/c 1'
_symmetry_Int_Tables_number 15
loop_
_symmetry_equiv_pos_as_xyz
'x,y,z'
'-x,-y,-z'
'-x,y,-z+1/2'
'x,-y,z+1/2'
'x+1/2,y+1/2,z'
'-x+1/2,-y+1/2,-z'
'-x+1/2,y+1/2,-z+1/2'
'x+1/2,-y+1/2,z+1/2'
loop_
_atom_site_label
_atom_site_type_symbol
_atom_site_fract_x
_atom_site_fract_y
_atom_site_fract_z
Bi1 Bi 0.144 0.174 0.360
Pd1 Pd 0.105 0.398 0.468
Pd2 Pd 0.204 0.002 0.147
Pb1 Pb 0.000 0.093 0.750
Pb2 Pb 0.125 0.380 0.984

=====

Record 10
# Bi3PdPb | Alexandria via LeMat-Bulk | GGA-PBE | optimized geometry
# magnetization: 0.00 μB/cell
# energy of formation: 4.82 kcal/mol of atoms
# total energy: -19.5 eV/cell
# offset from the most stable computed form: 0.297 eV/atom
# crystal system: cubic
data_Bi3PdPb
_cell_length_a 5.448
_cell_length_b 5.448
_cell_length_c 5.448
_cell_angle_alpha 90.00
_cell_angle_beta 90.00
_cell_angle_gamma 90.00
_symmetry_space_group_name_H-M 'P m -3 m'
_symmetry_Int_Tables_number 221
_symmetry_space_group_name_Hall '-P 4 2 3'
loop_
_atom_site_label
_atom_site_type_symbol
_atom_site_fract_x
_atom_site_fract_y
_atom_site_fract_z
Bi1 Bi 0.000 0.000 0.500
Pd1 Pd 0.000 0.000 0.000
Pb1 Pb 0.500 0.500 0.500

=====

Record 11
# PrBi2Pd7Pb2 | Alexandria via LeMat-Bulk | GGA-PBE | optimized geometry
# magnetization: 0.00 μB/cell
# energy of formation: -7.95 kcal/mol of atoms
# total energy: -120.9 eV/cell
# crystal system: monoclinic
data_PrBi2Pd7Pb2
_cell_length_a 5.830
_cell_length_b 5.810
_cell_length_c 16.049
_cell_angle_alpha 90.00
_cell_angle_beta 95.58
_cell_angle_gamma 90.00
_symmetry_space_group_name_H-M 'C 1 2/m 1'
_symmetry_Int_Tables_number 12
loop_
_symmetry_equiv_pos_as_xyz
'x,y,z'
'-x,-y,-z'
'-x,y,-z'
'x,-y,z'
'x+1/2,y+1/2,z'
'-x+1/2,-y+1/2,-z'
'-x+1/2,y+1/2,-z'
'x+1/2,-y+1/2,z'
loop_
_atom_site_label
_atom_site_type_symbol
_atom_site_fract_x
_atom_site_fract_y
_atom_site_fract_z
Pr1 Pr 0.000 0.000 0.000
Bi1 Bi 0.068 0.500 0.252
Pd1 Pd 0.000 0.500 0.000
Pd2 Pd 0.127 0.500 0.429
Pd3 Pd 0.212 0.250 0.863
Pb1 Pb 0.126 0.000 0.406

=====

Record 12
# Bi2PdPt7Pb2 | Alexandria via LeMat-Bulk | GGA-PBE | optimized geometry
# magnetization: 0.00 μB/cell
# energy of formation: -3.10 kcal/mol of atoms
# total energy: -257.1 eV/cell
# crystal system: orthorhombic
data_Bi2PdPt7Pb2
_cell_length_a 5.605
_cell_length_b 5.605
_cell_length_c 33.440
_cell_angle_alpha 90.00
_cell_angle_beta 90.00
_cell_angle_gamma 90.00
_symmetry_space_group_name_H-M 'F m m m'
_symmetry_Int_Tables_number 69
_symmetry_space_group_name_Hall '-F 2 2'
loop_
_atom_site_label
_atom_site_type_symbol
_atom_site_fract_x
_atom_site_fract_y
_atom_site_fract_z
Bi1 Bi 0.000 0.000 0.214
Pd1 Pd 0.000 0.000 0.000
Pt1 Pt 0.000 0.000 0.298
Pt2 Pt 0.000 0.000 0.500
Pt3 Pt 0.250 0.250 0.060
Pb1 Pb 0.000 0.000 0.381

=====

Copy entry 2 word for word.
# Bi2PdPb8 | Alexandria via LeMat-Bulk | GGA-PBE | optimized geometry
# magnetization: 0.00 μB/cell
# energy of formation: -0.05 kcal/mol of atoms
# total energy: -85.3 eV/cell
# offset from the most stable computed form: 0.003 eV/atom
# crystal system: monoclinic
data_Bi2PdPb8
_cell_length_a 21.342
_cell_length_b 4.326
_cell_length_c 7.527
_cell_angle_alpha 90.00
_cell_angle_beta 99.15
_cell_angle_gamma 90.00
_symmetry_space_group_name_H-M 'C 1 2/m 1'
_symmetry_Int_Tables_number 12
loop_
_symmetry_equiv_pos_as_xyz
'x,y,z'
'-x,-y,-z'
'-x,y,-z'
'x,-y,z'
'x+1/2,y+1/2,z'
'-x+1/2,-y+1/2,-z'
'-x+1/2,y+1/2,-z'
'x+1/2,-y+1/2,z'
loop_
_atom_site_label
_atom_site_type_symbol
_atom_site_fract_x
_atom_site_fract_y
_atom_site_fract_z
Bi1 Bi 0.179 0.000 0.264
Pd1 Pd 0.000 0.500 0.500
Pb1 Pb 0.018 0.000 0.264
Pb2 Pb 0.093 0.500 0.977
Pb3 Pb 0.132 0.500 0.544
Pb4 Pb 0.209 0.000 0.839

=====

Question: Which of these has the highest energy of formation?
Answer: Bi3PdPb